No. 1
The following is a PBE calculation of a relaxed H2IrCl2 crystal, from Alexandria via LeMat-Bulk.

a b c (Å): 4.5257 4.5257 4.5187
angles (deg): 59.95 59.95 90.00
Each line ends with the local moment (μB).
Atoms (fractional coordinates):
Cl  0.7500  0.2500  0.5000  0.29
Cl  0.2500  0.7500  0.5000  0.29
H  0.5585  0.5585  0.8830  0.01
H  0.4415  0.4415  0.1170  0.01
Ir  0.0000  0.0000  0.0000  2.23

Calculated values
relative energy among the computed polymorphs	0.00	eV/f.u.
DFT total energy	-3.333	eV per atom
DOS(E_F)	0.04	states/eV/cell

---

No. 2
The following is a PBE calculation of a relaxed HIrCl2 crystal, from Alexandria via LeMat-Bulk.

a b c (Å): 4.3378 4.3378 4.3378
angles (deg): 60.00 60.00 60.00
Each line ends with the local moment (μB).
Atoms (fractional coordinates):
H  0.0000  0.0000  0.0000  0.28
Cl  0.2500  0.2500  0.2500  -0.14
Cl  0.7500  0.7500  0.7500  -0.14
Ir  0.5000  0.5000  0.5000  -0.90

Calculated values
relative energy among the computed polymorphs	2.02	eV/f.u.
DFT total energy	-2.927	eV per atom
DOS(E_F)	5.66	states/eV/cell

---

No. 3
The following is a PBE calculation of a relaxed KH2IrCl8 crystal, from Alexandria via LeMat-Bulk.

a b c (Å): 6.5093 7.1984 8.9407
angles (deg): 124.48 90.10 84.49
Each line ends with the local moment (μB).
Atoms (fractional coordinates):
H  0.3285  0.4984  0.6788  0.00
H  0.6715  0.5016  0.3212  0.00
K  0.0000  0.0000  0.5000  0.00
Cl  0.6062  0.7042  0.3594  0.01
Cl  0.7784  0.1758  0.2644  0.04
Cl  0.7768  0.1579  0.8877  0.11
Cl  0.8227  0.6884  0.8658  0.17
Cl  0.2216  0.8242  0.7356  0.04
Cl  0.3938  0.2958  0.6406  0.01
Cl  0.2232  0.8421  0.1123  0.11
Cl  0.1773  0.3116  0.1342  0.17
Ir  0.0000  0.0000  0.0000  1.04

Calculated values
DFT total energy	-3.295	eV per atom
DOS(E_F)	6.18	states/eV/cell

---

No. 4
The following is a PBE calculation of a relaxed K2H3IrNCl5 crystal, from Alexandria via LeMat-Bulk.

a b c (Å): 7.7233 9.6588 13.7998
angles (deg): 90.00 90.00 90.00
Atoms (fractional coordinates):
Cl  0.4296  0.7500  0.2977
Cl  0.8067  0.9953  0.8920
Cl  0.3645  0.2500  0.2541
Cl  0.3067  0.4953  0.6080
Cl  0.1355  0.2500  0.7541
Cl  0.1933  0.4953  0.1080
Cl  0.9296  0.2500  0.2023
Cl  0.6933  0.5047  0.3920
Cl  0.8067  0.5047  0.8920
Cl  0.0704  0.7500  0.7977
Cl  0.5704  0.2500  0.7023
Cl  0.4438  0.2500  0.0112
Cl  0.6355  0.7500  0.7459
Cl  0.3067  0.0047  0.6080
Cl  0.5562  0.7500  0.9888
Cl  0.8645  0.7500  0.2459
Cl  0.0562  0.2500  0.5112
Cl  0.6933  0.9953  0.3920
Cl  0.1933  0.0047  0.1080
Cl  0.9438  0.7500  0.4888
Ir  0.8099  0.7500  0.8905
Ir  0.1901  0.2500  0.1095
Ir  0.3099  0.2500  0.6095
Ir  0.6901  0.7500  0.3905
K  0.0996  0.5024  0.3392
K  0.9004  0.0024  0.6608
K  0.4004  0.9976  0.8392
K  0.5996  0.4976  0.1608
K  0.5996  0.0024  0.1608
K  0.9004  0.4976  0.6608
K  0.0996  0.9976  0.3392
K  0.4004  0.5024  0.8392
H  0.0389  0.8363  0.0177
H  0.8876  0.7500  0.0759
H  0.9611  0.1637  0.9823
H  0.4611  0.8363  0.5177
H  0.9611  0.3363  0.9823
H  0.0389  0.6637  0.0177
H  0.3876  0.2500  0.4241
H  0.5389  0.1637  0.4823
H  0.5389  0.3363  0.4823
H  0.1124  0.2500  0.9241
H  0.6124  0.7500  0.5759
H  0.4611  0.6637  0.5177
N  0.9607  0.7500  0.0135
N  0.4607  0.2500  0.4865
N  0.5393  0.7500  0.5135
N  0.0393  0.2500  0.9865

Calculated values
DFT total energy	-4.250	eV per atom
DOS(E_F)	0.00	states/eV/cell

---

- Among the records above, which one has the highest DFT total energy?
  HIrCl2

---

What did the first record say?
The following is a PBE calculation of a relaxed H2IrCl2 crystal, from Alexandria via LeMat-Bulk.

a b c (Å): 4.5257 4.5257 4.5187
angles (deg): 59.95 59.95 90.00
Each line ends with the local moment (μB).
Atoms (fractional coordinates):
Cl  0.7500  0.2500  0.5000  0.29
Cl  0.2500  0.7500  0.5000  0.29
H  0.5585  0.5585  0.8830  0.01
H  0.4415  0.4415  0.1170  0.01
Ir  0.0000  0.0000  0.0000  2.23

Calculated values
relative energy among the computed polymorphs	0.00	eV/f.u.
DFT total energy	-3.333	eV per atom
DOS(E_F)	0.04	states/eV/cell

---

- Which of these has the lowest DOS(E_F)?
  K2H3IrNCl5

---

- Look up the DOS(E_F) of the third one.
  6.18 states/eV/cell